# PBE Tl2PIrRh, relaxed
# D(E_F) = 5.011 states/eV per cell
# raw total energy = -4.201 eV per atom
# volume = 25.41 A^3/atom
data_Tl2PIrRh
_cell_length_a 5.155
_cell_length_b 5.155
_cell_length_c 4.781
_cell_angle_alpha 90.00
_cell_angle_beta 90.00
_cell_angle_gamma 90.00
_symmetry_space_group_name_H-M 'P 4/m m m'
_symmetry_Int_Tables_number 123
_symmetry_space_group_name_Hall '-P 4 2'
loop_
_atom_site_label
_atom_site_fract_x
_atom_site_fract_y
_atom_site_fract_z
_atom_site_occupancy
Tl1 0.000 0.500 0.000 1
P1 0.000 0.000 0.500 1
Ir1 0.500 0.500 0.500 1
Rh1 0.500 0.500 0.000 1

---

# PBE EuMg3Pt, relaxed
# D(E_F) = 10.957 states/eV per cell
# raw total energy = -4.622 eV per atom
# volume = 26.31 A^3/atom
data_EuMg3Pt
_cell_length_a 5.086
_cell_length_b 5.086
_cell_length_c 5.086
_cell_angle_alpha 90.00
_cell_angle_beta 90.00
_cell_angle_gamma 90.00
_symmetry_space_group_name_H-M 'P m -3 m'
_symmetry_Int_Tables_number 221
_symmetry_space_group_name_Hall '-P 4 2 3'
loop_
_atom_site_label
_atom_site_fract_x
_atom_site_fract_y
_atom_site_fract_z
_atom_site_occupancy
Eu1 0.000 0.000 0.000 1
Mg1 0.000 0.500 0.500 1
Pt1 0.500 0.500 0.500 1

---

# PBE FeRe2Se, relaxed
# D(E_F) = 7.383 states/eV per cell
# raw formation energy = 298 meV/atom
# volume = 14.60 A^3/atom
data_FeRe2Se
_cell_length_a 2.8371
_cell_length_b 2.8371
_cell_length_c 25.1275
_cell_angle_alpha 90.00
_cell_angle_beta 90.00
_cell_angle_gamma 120.00
_symmetry_space_group_name_H-M 'R 3 m'
_symmetry_Int_Tables_number 160
_symmetry_space_group_name_Hall 'R 3 -2"'
loop_
_atom_site_label
_atom_site_fract_x
_atom_site_fract_y
_atom_site_fract_z
_atom_site_occupancy
Fe1 0.0000 0.0000 0.0000 1
Re1 0.0000 0.0000 0.5024 1
Re2 0.0000 0.0000 0.7518 1
Se1 0.0000 0.0000 0.2608 1

---

# PBE CeCoBi, relaxed
# D(E_F) = 2.370 states/eV per cell
# raw total energy = -6.051 eV per atom
# volume = 25.14 A^3/atom
data_CeCoBi
_cell_length_a 4.425
_cell_length_b 4.865
_cell_length_c 7.149
_cell_angle_alpha 90.00
_cell_angle_beta 101.43
_cell_angle_gamma 90.00
_symmetry_space_group_name_H-M 'P 1 21 1'
_symmetry_Int_Tables_number 4
loop_
_symmetry_equiv_pos_as_xyz
'x,y,z'
'-x,y+1/2,-z'
loop_
_atom_site_label
_atom_site_fract_x
_atom_site_fract_y
_atom_site_fract_z
_atom_site_occupancy
Ce1 0.189 0.000 0.213 1
Co1 0.447 0.202 0.031 1
Bi1 0.257 0.006 0.680 1